Density functional theory data (meta-GGA SCAN) for a crystal of Al2OsPt relaxed with PBEsol.

a b c (Å): 4.1832 4.1832 3.1117
angles (deg): 90.00 90.00 90.00
Element x y z (fractional)
Al 0.0000 0.5000 0.0000
Al 0.5000 0.0000 0.0000
Os 0.0000 0.0000 0.5000
Pt 0.5000 0.5000 0.5000

Summary:
The calculation puts the formation energy from the elements at -1.04 eV per atom. The volume is 13.6 Å³/atom. Its symmetry is P4/mmm (123). As for the density of states at the Fermi level: 0.1248 states/eV/atom.